[1]
Material: La2AlCo
Method: DFT, GGA-PBEsol
State: optimized geometry

Unit cell a=3.9032 b=4.4440 c=6.0239 alpha=90.00 beta=106.88 gamma=90.00
Closest atoms and distances in Å follow each position.
Fractional coordinates of all 4 atoms:
La  0.0000  0.0000  0.0000  2 Co 2.74-2.80
La  0.2559  0.5000  0.5547  2 Al 3.04-3.06, 4 Co 3.20-3.21
Al  0.5705  0.5000  0.1488  2 Co 2.48
Co  0.6628  0.0000  0.3407  2 Al 2.48, 1 La 2.74

Results
Crystal system: monoclinic
Raw total energy in eV per atom: -5.764

---

[2]
Material: ScCdAu2
Method: DFT, GGA-PBEsol
State: optimized geometry

Unit cell a=4.5819 b=4.5819 c=3.5331 alpha=90.00 beta=90.00 gamma=90.00
Closest atoms and distances in Å follow each position.
Fractional coordinates of all 4 atoms:
Sc  0.0000  0.0000  0.0000  8 Au 2.89, 4 Cd 3.24
Cd  0.5000  0.5000  0.0000  8 Au 2.89, 4 Sc 3.24
Au  0.0000  0.5000  0.5000  4 Cd 2.89, 4 Sc 2.89, 4 Au 3.24
Au  0.5000  0.0000  0.5000  4 Cd 2.89, 4 Sc 2.89, 4 Au 3.24

Results
Crystal system: tetragonal
Raw total energy in eV per atom: -4.404

---

[3]
Material: Cd2ReAs
Method: DFT, GGA-PBEsol
State: optimized geometry

Unit cell a=5.4158 b=5.4158 c=5.4158 alpha=138.54 beta=138.54 gamma=60.08
Closest atoms and distances in Å follow each position.
Fractional coordinates of all 4 atoms:
Cd  0.2500  0.7500  0.5000  4 Cd 2.71, 4 As 3.03, 4 Re 3.03
Cd  0.7500  0.2500  0.5000  4 Cd 2.71, 4 As 3.03, 4 Re 3.03
Re  0.0000  0.0000  0.0000  4 As 2.71, 8 Cd 3.03
As  0.5000  0.5000  0.0000  4 Re 2.71, 8 Cd 3.03

Results
Crystal system: tetragonal
Raw total energy in eV per atom: -4.596

---

[4]
Material: LiFeGe2Bi
Method: DFT, GGA-PBEsol
State: optimized geometry

Unit cell a=5.3876 b=5.3876 c=4.8530 alpha=90.00 beta=90.00 gamma=90.00
Closest atoms and distances in Å follow each position.
Fractional coordinates of all 5 atoms:
Li  0.0000  0.0000  0.0000  2 Bi 2.43
Fe  0.5000  0.5000  0.0000  8 Ge 3.63, 4 Li 3.81
Ge  0.0000  0.5000  0.5000  2 Bi 2.69
Ge  0.5000  0.0000  0.5000  2 Bi 2.69
Bi  0.0000  0.0000  0.5000  2 Li 2.43, 4 Ge 2.69

Results
Crystal system: tetragonal
Raw total energy in eV per atom: -3.682

---

[5]
Material: CaTiCu2W
Method: DFT, GGA-PBEsol
State: optimized geometry

Unit cell a=4.8380 b=4.8380 c=4.5185 alpha=90.00 beta=90.00 gamma=90.00
Closest atoms and distances in Å follow each position.
Fractional coordinates of all 5 atoms:
Ca  0.0000  0.0000  0.0000  8 Cu 3.31, 4 Ti 3.42
Ti  0.5000  0.5000  0.0000  2 W 2.26
Cu  0.0000  0.5000  0.5000  2 W 2.42
Cu  0.5000  0.0000  0.5000  2 W 2.42
W  0.5000  0.5000  0.5000  2 Ti 2.26, 4 Cu 2.42

Results
Crystal system: tetragonal
Raw total energy in eV per atom: -5.741

---

[6]
Material: TlCdN3
Method: DFT, GGA-PBEsol
State: optimized geometry

Unit cell a=4.3154 b=4.3154 c=4.3154 alpha=90.00 beta=90.00 gamma=90.00
Closest atoms and distances in Å follow each position.
Fractional coordinates of all 5 atoms:
Tl  0.0000  0.0000  0.0000  6 N 2.16
Cd  0.5000  0.5000  0.5000  12 N 3.05
N  0.0000  0.0000  0.5000  2 Tl 2.16
N  0.0000  0.5000  0.0000  2 Tl 2.16
N  0.5000  0.0000  0.0000  2 Tl 2.16

Results
Raw formation energy in kJ/mol of formula units: 1079
Crystal system: cubic

---

[7]
Material: As2IrSe
Method: DFT, GGA-PBEsol
State: optimized geometry

Unit cell a=6.0825 b=6.0825 c=6.0825 alpha=146.68 beta=141.86 gamma=51.52
Closest atoms and distances in Å follow each position.
Fractional coordinates of all 4 atoms:
As  0.0000  0.0000  0.0000  2 Ir 2.60, 2 As 2.61
As  0.6550  0.1550  0.5000  2 As 2.61, 4 Ir 2.65, 2 Se 2.87
Ir  0.1755  0.6755  0.5000  2 Se 2.54, 6 As 2.60-2.65
Se  0.3441  0.3441  0.0000  2 Ir 2.54

Results
Raw formation energy in kJ/mol of formula units: 68
Crystal system: orthorhombic

---

[8]
Material: K2BeSe
Method: DFT, GGA-PBEsol
State: optimized geometry

Unit cell a=6.5291 b=6.5291 c=4.8024 alpha=99.09 beta=99.09 gamma=40.75
Closest atoms and distances in Å follow each position.
Fractional coordinates of all 4 atoms:
K  0.0000  0.0000  0.0000  4 Se 3.39-3.41, 3 Be 3.55-3.59, 1 K 3.69
K  0.7153  0.7153  0.5980  4 Be 3.31-3.57, 3 Se 3.39-3.65, 1 K 3.69
Be  0.2937  0.2937  0.1711  1 Se 2.05
Se  0.4345  0.4345  0.4698  1 Be 2.05

Results
Raw formation energy in kJ/mol of formula units: -103
Crystal system: monoclinic